Entry 1:
Here is a geometry-optimized SrCu2Ir structure from the Alexandria database. Energies are from PBE-GGA.

Results
Final energy   -17.8 eV per formula unit
Space-group type   Pm (6)
E_form   0.237 eV per atom

Lattice parameters (Å, degrees): 4.090 3.119 6.034 75.11 90.00 90.00
Positions (direct):
Cu  0.000  0.163  0.050
Cu  0.500  0.042  0.289
Ir  0.000  0.489  0.396
Sr  0.500  0.806  0.766

=====

Entry 2:
Here is a geometry-optimized CaErRuO6 structure from the Alexandria database. Energies are from PBE-GGA.

Results
Formation energy (no corrections)   -1972 meV per atom
Final energy   -63.3 eV per formula unit
Space-group type   P-31c (163)

Lattice parameters (Å, degrees): 5.487 5.487 9.661 90.00 90.00 120.00
Each line ends with the local moment (μB).
Positions (direct):
Ca  0.000  0.000  0.000  0.01
Ca  0.000  0.000  0.500  0.01
Er  0.333  0.667  0.250  0.04
Er  0.667  0.333  0.750  0.04
Ru  0.667  0.333  0.250  0.68
Ru  0.333  0.667  0.750  0.68
O  0.662  0.620  0.138  0.04
O  0.957  0.338  0.138  0.04
O  0.338  0.957  0.638  0.04
O  0.043  0.662  0.862  0.04
O  0.380  0.338  0.362  0.04
O  0.957  0.620  0.362  0.04
O  0.620  0.957  0.862  0.04
O  0.662  0.043  0.362  0.04
O  0.043  0.380  0.638  0.04
O  0.380  0.043  0.138  0.04
O  0.620  0.662  0.638  0.04
O  0.338  0.380  0.862  0.04